Here is an optimized crystal structure of LiNdGeO4 from OQMD via LeMat-Bulk. Energies are from PBE-GGA.

Summary:
VASP energy, eV/atom: -6.900

The structure in POSCAR format:
```
LiNdGeO4
1.0
5.105 0.000 0.000
0.000 11.880 0.000
0.000 0.000 5.389
Li Nd Ge O
4 4 4 16
Direct
0.000 0.233 0.250
0.000 0.767 0.750
0.500 0.267 0.750
0.500 0.733 0.250
0.000 0.114 0.750
0.000 0.886 0.250
0.500 0.386 0.250
0.500 0.614 0.750
0.000 0.391 0.750
0.000 0.609 0.250
0.500 0.109 0.250
0.500 0.891 0.750
0.177 0.297 0.546
0.177 0.703 0.046
0.250 0.041 0.418
0.250 0.459 0.918
0.250 0.541 0.418
0.250 0.959 0.918
0.323 0.203 0.046
0.323 0.797 0.546
0.677 0.203 0.454
0.677 0.797 0.954
0.750 0.041 0.082
0.750 0.459 0.582
0.750 0.541 0.082
0.750 0.959 0.582
0.823 0.297 0.954
0.823 0.703 0.454
```